(1)
VASP calculation (PBE) on an optimized crystal structure of Pu2U2N7.

```
22
Lattice="6.509 0.000 3.758 2.170 6.136 3.758 0.000 0.000 7.516" Properties=species:S:1:pos:R:3 pbc="T T T"
N 1.200 2.905 5.437
N 3.139 0.163 2.079
N 6.509 4.602 11.273
N 1.200 2.905 2.079
Pu 5.424 3.835 5.637
N 3.139 4.766 5.437
N 6.740 4.766 7.516
N 1.939 1.371 7.516
N 5.539 1.371 5.437
U 1.085 0.767 5.637
Pu 4.339 0.767 7.516
U 2.170 3.835 3.758
N 3.139 0.163 5.437
N 0.231 0.163 3.758
Pu 2.170 3.835 7.516
N 5.539 1.371 9.595
N 4.339 3.068 7.516
N 3.139 4.766 9.595
N 4.108 2.905 3.758
U 1.085 0.767 1.879
Pu 5.424 3.835 9.395
U 4.339 0.767 3.758
```

Computed properties:
SG = Fd-3m, No. 227
N(E_F) = 1.332 states/eV per atom
electronic total energy = -11.1560 eV per atom
uncorrected formation energy = -27.670 kcal/mol of atoms


(2)
VASP calculation (PBE) on an optimized crystal structure of Ce2Sm3YHo6.

```
12
Lattice="-2.085 -1.357 5.632 -1.043 -3.863 -4.680 10.924 -3.760 2.018" Properties=species:S:1:pos:R:3 pbc="T T T"
Ho 1.742 -1.819 2.471
Ce -1.391 -3.027 -1.240
Ho 5.704 -6.318 3.965
Sm 3.550 -3.653 4.930
Sm 4.246 -5.327 -1.959
Ho 0.368 -4.830 1.211
Ho 2.092 -2.661 -0.994
Y 0.000 0.000 0.000
Ho 6.054 -7.160 0.500
Ho 7.428 -4.150 1.760
Sm 3.898 -4.490 1.485
Ce -1.738 -2.193 2.192
```

Computed properties:
SG = C2/m, No. 12
N(E_F) = 1.698 states/eV per atom
energy of formation = 4.4 kJ per mole of atoms
electronic total energy = -4.9505 eV per atom


(3)
VASP calculation (PBE) on an optimized crystal structure of AsWBr2.

```
4
Lattice="-4.749 -1.875 0.460 0.602 0.297 -5.082 1.130 -2.870 -0.034" Properties=species:S:1:pos:R:3 pbc="T T T"
Br -2.074 -0.789 -2.311
Br 0.000 0.000 0.000
W -1.810 -2.373 0.213
As 0.866 -1.286 -2.558
```

Computed properties:
SG = Cmmm, No. 65
N(E_F) = 0.796 states/eV per atom
electronic total energy = -3.9531 eV per atom
uncorrected formation energy = 29.610 kcal/mol of atoms